Compound: Pr3Ni2Ge2
Source: the Alexandria database
Functional: GGA-PBE
Structure: relaxed

Summary:
ΔE to the lowest computed polymorph: 13 meV/atom
calculated formation energy: -0.61 eV per atom

a b c (Å): 5.7323 8.1211 13.0551
angles (deg): 90.00 90.00 90.00
With the nearest neighbours (Å) after each atom.
Fractional positions:
Ge1 0.1627 0.9050 0.2500  2 Ni 2.52
Pr1 0.6415 0.7451 0.7500  5 Ge 3.00-3.26, 4 Ni 3.08-3.16
Pr2 0.1382 0.8909 0.6002  4 Ni 2.91-3.24, 2 Ge 3.09-3.10
Ni1 0.3878 0.9657 0.4118  3 Ge 2.52-2.59, 1 Ni 2.70
Pr3 0.8618 0.3909 0.8998  4 Ni 2.91-3.24, 2 Ge 3.09-3.10
Ni2 0.3878 0.5343 0.5882  3 Ge 2.52-2.59, 1 Ni 2.70
Pr4 0.8618 0.3909 0.6002  4 Ni 2.91-3.24, 2 Ge 3.09-3.10
Ni3 0.3878 0.9657 0.0882  3 Ge 2.52-2.59, 1 Ni 2.70
Pr5 0.1382 0.8909 0.8998  4 Ni 2.91-3.24, 2 Ge 3.09-3.10
Ge2 0.6451 0.7500 0.0000  4 Ni 2.56-2.59
Pr6 0.8618 0.1091 0.3998  4 Ni 2.91-3.24, 2 Ge 3.09-3.10
Pr7 0.1382 0.6091 0.1002  4 Ni 2.91-3.24, 2 Ge 3.09-3.10
Pr8 0.8618 0.1091 0.1002  4 Ni 2.91-3.24, 2 Ge 3.09-3.10
Ge3 0.3549 0.2500 0.5000  4 Ni 2.56-2.59
Ge4 0.8373 0.4050 0.2500  2 Ni 2.52
Pr9 0.6415 0.7549 0.2500  5 Ge 3.00-3.26, 4 Ni 3.08-3.16
Ni4 0.3878 0.5343 0.9118  3 Ge 2.52-2.59, 1 Ni 2.70
Ge5 0.1627 0.5950 0.7500  2 Ni 2.52
Ge6 0.8373 0.0950 0.7500  2 Ni 2.52
Ge7 0.3549 0.2500 0.0000  4 Ni 2.56-2.59
Pr10 0.1382 0.6091 0.3998  4 Ni 2.91-3.24, 2 Ge 3.09-3.10
Pr11 0.3585 0.2451 0.7500  5 Ge 3.00-3.26, 4 Ni 3.08-3.16
Ni5 0.6122 0.4657 0.0882  3 Ge 2.52-2.59, 1 Ni 2.70
Pr12 0.3585 0.2549 0.2500  5 Ge 3.00-3.26, 4 Ni 3.08-3.16
Ge8 0.6451 0.7500 0.5000  4 Ni 2.56-2.59
Ni6 0.6122 0.0343 0.5882  3 Ge 2.52-2.59, 1 Ni 2.70
Ni7 0.6122 0.0343 0.9118  3 Ge 2.52-2.59, 1 Ni 2.70
Ni8 0.6122 0.4657 0.4118  3 Ge 2.52-2.59, 1 Ni 2.70